No. 1
Computed, not measured: Pu3Pa after structural relaxation at the PBE level of DFT.

Values from the calculation:
Symmetry: Immm (71)
Formation enthalpy at 0 K in meV/atom: 291
Crystal system: orthorhombic
Density of states at the Fermi level in states/eV per atom: 4.860
Energy above the lowest structure with this stoichiometry in meV per atom: 38

The structure in POSCAR format:
```
Pu3Pa
1.0
-1.7498 1.4998 -2.2767
3.8107 -1.2601 -3.7590
-3.6842 -4.8782 1.9227
Pa Pu
1 3
Cartesian
3.4932 -1.1551 -3.4457
0.2078 -2.9996 -2.1357
0.7129 0.2248 -2.7046
-2.4661 -1.4289 -1.3507
```

=====

No. 2
Computed, not measured: Pu2Pa after structural relaxation at the PBE level of DFT.

Values from the calculation:
Symmetry: Fd-3m (227)
Formation enthalpy at 0 K in meV/atom: 245
Crystal system: cubic
Energy above the lowest structure with this stoichiometry in meV per atom: 0

The structure in POSCAR format:
```
Pu2Pa
1.0
-2.5670 3.5203 3.5501
-4.3783 -1.7757 3.0435
0.5398 -0.7153 5.5482
Pa Pu
2 4
Cartesian
0.0000 0.0000 0.0000
-1.6014 0.2573 3.0355
-2.7199 -1.1168 5.8136
-1.8143 1.5312 6.0669
-4.0034 0.6433 7.5887
-4.2733 1.0010 4.8146
```

=====

No. 3
Computed, not measured: PuPa2 after structural relaxation at the PBE level of DFT.

Values from the calculation:
Symmetry: C2/m (12)
Formation enthalpy at 0 K in meV/atom: 54
Crystal system: monoclinic
Density of states at the Fermi level in states/eV per atom: 2.199
Energy above the lowest structure with this stoichiometry in meV per atom: 4

The structure in POSCAR format:
```
PuPa2
1.0
-0.8182 3.2018 3.0676
-3.0918 -4.7264 0.7946
5.9927 -0.9415 2.5812
Pu Pa
2 4
Cartesian
3.8379 -1.8226 2.9260
-1.7552 -0.6435 3.5173
0.8090 -1.3542 1.6292
1.2737 -1.1118 4.8141
2.5872 1.1302 2.8244
-0.4091 1.6009 1.5338
```

=====

No. 4
Computed, not measured: Pu3Pa8 after structural relaxation at the PBE level of DFT.

Values from the calculation:
Symmetry: R-3 (148)
Formation enthalpy at 0 K in meV/atom: 141
Crystal system: trigonal
Density of states at the Fermi level in states/eV per atom: 2.023
Energy above the lowest structure with this stoichiometry in meV per atom: 111

The structure in POSCAR format:
```
Pu3Pa8
1.0
6.3688 -0.1057 -0.1032
0.0560 6.3694 -0.1032
0.0560 0.0546 6.3700
Pu Pa
3 8
Cartesian
3.2124 -0.0256 3.1334
0.0560 3.2120 3.1334
3.2124 3.1319 -0.1032
5.4036 2.2374 0.8410
2.3739 0.9731 5.3226
1.0330 5.3791 2.2159
2.2761 2.2191 2.1648
4.2046 4.0992 3.9989
5.4477 0.9391 3.9478
4.1069 5.3452 0.8411
1.0771 4.0809 5.3227
```

=====

No. 5
Computed, not measured: PuPa8 after structural relaxation at the PBE level of DFT.

Values from the calculation:
Symmetry: I4/mmm (139)
Formation enthalpy at 0 K in meV/atom: 16
Crystal system: tetragonal
Density of states at the Fermi level in states/eV per atom: 2.066
Energy above the lowest structure with this stoichiometry in meV per atom: 0

The structure in POSCAR format:
```
PuPa8
1.0
-0.1516 2.8816 3.6575
-6.8611 2.4302 0.7680
-1.5086 -3.9207 5.9935
Pu Pa
1 8
Cartesian
0.0000 0.0000 0.0000
-1.1080 -0.6972 6.4375
-0.5522 -0.3419 3.2135
-5.6332 -0.0347 5.7279
-4.6808 3.5420 2.9494
-5.0788 0.3154 2.5081
-2.3319 1.7698 1.4760
-2.8881 1.4257 4.6911
-3.2909 -1.8060 4.2535
```

=====

No. 6
Computed, not measured: PuPa after structural relaxation at the PBE level of DFT.

Values from the calculation:
Symmetry: Cmcm (63)
Formation enthalpy at 0 K in meV/atom: 152
Crystal system: orthorhombic
Density of states at the Fermi level in states/eV per atom: 1.965
Energy above the lowest structure with this stoichiometry in meV per atom: 142

The structure in POSCAR format:
```
PuPa
1.0
-2.1724 -4.1141 0.8156
1.2718 -0.0234 3.2694
-3.0601 4.5664 1.2231
Pa Pu
2 2
Cartesian
-1.3791 -2.6773 3.3406
-2.5815 3.1062 1.9676
-2.2773 0.5815 3.7133
-1.6833 -0.1526 1.5948
```

=====

No. 7
Computed, not measured: PuPa8 after structural relaxation at the PBE level of DFT.

Values from the calculation:
Symmetry: C2/m (12)
Formation enthalpy at 0 K in meV/atom: 31
Crystal system: monoclinic
Density of states at the Fermi level in states/eV per atom: 2.284
Energy above the lowest structure with this stoichiometry in meV per atom: 14

The structure in POSCAR format:
```
PuPa8
1.0
0.2286 -1.2706 2.9475
5.8208 -5.9560 -1.2439
6.0450 4.7943 3.3728
Pu Pa
1 8
Cartesian
0.0000 0.0000 0.0000
5.9703 1.2132 1.8353
6.1241 -3.6455 3.2411
4.1042 -1.2342 2.6745
10.0910 -0.0361 4.5026
10.0168 -3.5945 2.9750
7.9903 -1.1981 2.4019
2.0776 1.1622 2.1013
2.0034 -2.3962 0.5738
```

=====

No. 8
Computed, not measured: PuPa7 after structural relaxation at the PBE level of DFT.

Values from the calculation:
Symmetry: Fm-3m (225)
Formation enthalpy at 0 K in meV/atom: 22
Crystal system: cubic
Density of states at the Fermi level in states/eV per atom: 2.261

The structure in POSCAR format:
```
PuPa7
1.0
-5.6301 -2.2581 -2.4792
-0.3587 -6.1444 -2.2497
-3.4570 -4.4952 3.2842
Pu Pa
1 7
Cartesian
0.0000 0.0000 0.0000
-2.9944 -4.2013 -2.3645
-4.5435 -3.3767 0.4025
-1.9078 -5.3198 0.5172
-2.8150 -1.1291 -1.2396
-0.1793 -3.0722 -1.1249
-1.7285 -2.2476 1.6421
-4.7229 -6.4489 -0.7224
```

=====

No. 9
Computed, not measured: PuPa4 after structural relaxation at the PBE level of DFT.

Values from the calculation:
Symmetry: Imma (74)
Formation enthalpy at 0 K in meV/atom: 81
Crystal system: orthorhombic
Density of states at the Fermi level in states/eV per atom: 2.328
Energy above the lowest structure with this stoichiometry in meV per atom: 0

The structure in POSCAR format:
```
PuPa4
1.0
4.9693 0.0000 -1.4514
-0.6856 5.6384 -2.3473
-0.1916 0.1975 8.5764
Pu Pa
2 8
Cartesian
4.2157 1.0029 5.2008
-0.1236 4.8330 -0.4231
0.1856 1.9618 0.6353
3.9065 3.8742 4.1424
2.4847 0.0000 -0.7257
2.1419 2.8192 -1.8993
3.2583 1.3160 1.9232
0.8338 4.5200 2.8546
1.1522 1.9014 3.9447
2.9399 3.9346 0.8330
```

=====

No. 10
Computed, not measured: Rb4PuPa3S12 after structural relaxation at the PBE level of DFT.

Values from the calculation:
Symmetry: Im-3m (229)
Raw total energy in eV/atom: -6.281
Crystal system: cubic
Density of states at the Fermi level in states/eV per atom: 0.604

The structure in POSCAR format:
```
Rb4PuPa3S12
1.0
9.1162 0.0000 0.0000
-3.0387 8.5948 0.0000
-3.0387 -4.2974 7.4434
Rb Pu Pa S
4 1 3 12
Cartesian
1.5194 2.1487 3.7217
-1.5194 -2.1487 3.7217
4.5581 0.0000 0.0000
-1.5194 4.2974 0.0000
0.0000 0.0000 0.0000
3.0387 -2.1487 3.7217
3.0387 4.2974 0.0000
-3.0387 2.1487 3.7217
-1.5194 1.0744 5.5825
4.5558 -3.2214 5.5797
1.5217 -1.0760 1.8637
4.5581 3.2231 1.8608
4.5558 6.4429 0.0000
1.5217 2.1520 0.0000
4.5581 0.0000 3.7217
-1.5194 4.2974 3.7217
1.5194 -1.0744 5.5825
-4.5558 3.2214 5.5797
1.5194 5.3718 1.8608
-1.5217 1.0760 1.8637
```

=====

No. 11
Computed, not measured: Rb2Pu2PaS6 after structural relaxation at the PBE level of DFT.

Values from the calculation:
Symmetry: C2/m (12)
Raw total energy in eV/atom: -7.519
Crystal system: monoclinic
Density of states at the Fermi level in states/eV per atom: 2.245

The structure in POSCAR format:
```
Rb2Pu2PaS6
1.0
-0.7712 -4.8416 -5.0951
5.9992 3.7171 0.4332
1.2657 -5.0689 6.2975
Rb Pu Pa S
2 2 1 6
Cartesian
0.3764 -3.3908 -4.1580
4.8516 2.2664 -0.5039
4.3695 -1.6775 1.7345
2.1242 -4.5159 -0.0989
0.6329 -2.5345 3.1487
4.7489 -4.3082 0.8539
3.1320 -2.3311 4.1687
1.7448 -1.8852 0.7817
0.9334 -5.1105 2.3734
3.3617 -3.8622 -2.5331
5.5603 -1.0828 -0.7378
```

=====

No. 12
Computed, not measured: RbPuPaS4 after structural relaxation at the PBE level of DFT.

Values from the calculation:
Symmetry: Imma (74)
Raw total energy in eV/atom: -7.454
Crystal system: orthorhombic
Density of states at the Fermi level in states/eV per atom: 2.185

The structure in POSCAR format:
```
RbPuPaS4
1.0
-0.5446 1.6421 -8.2531
6.5416 -4.5879 2.9633
-7.9841 -3.3200 -0.1337
Rb Pu Pa S
2 2 2 8
Cartesian
3.4272 -2.4085 -5.0133
-5.4144 -3.8572 -0.4102
-4.2644 -0.8389 -4.1934
-0.2723 0.8211 -4.1265
-0.9936 -3.1329 -2.7117
-0.7213 -3.9539 1.4148
-2.8015 -3.2179 -4.7633
-2.0216 -0.6697 -2.4864
-2.2519 0.0246 -5.9757
0.3994 -1.8869 -4.7097
-2.3866 -4.3788 -0.7138
0.0344 -5.5961 -2.9371
0.2647 -6.2904 0.5523
0.8143 -3.0478 -0.6602
```

=====

No. 13
Computed, not measured: RbPuPaSe4 after structural relaxation at the PBE level of DFT.

Values from the calculation:
Symmetry: Imma (74)
Raw total energy in eV/atom: -6.897
Crystal system: orthorhombic
Density of states at the Fermi level in states/eV per atom: 2.374

The structure in POSCAR format:
```
RbPuPaSe4
1.0
9.0813 0.0000 0.0000
-4.5407 7.6426 -0.4968
0.0000 -4.5672 7.5110
Rb Pu Pa Se
2 2 2 8
Cartesian
4.5407 5.1878 0.5825
0.0000 -2.1124 6.4316
2.2703 1.5377 3.5071
-2.2703 1.5377 3.5071
4.5407 -2.2836 3.7555
4.5407 0.0000 0.0000
4.5407 0.2729 4.9345
2.7019 -0.9918 1.9689
6.3794 -0.9918 1.9689
4.5407 2.2231 1.7273
0.0000 0.8523 5.2868
1.8387 4.0672 5.0452
-1.8387 4.0672 5.0452
0.0000 2.8025 2.0797
```

=====

No. 14
Computed, not measured: Rb3Pu2PaSe6 after structural relaxation at the PBE level of DFT.

Values from the calculation:
Symmetry: C2/m (12)
Raw total energy in eV/atom: -6.601
Crystal system: monoclinic
Density of states at the Fermi level in states/eV per atom: 2.418

The structure in POSCAR format:
```
Rb3Pu2PaSe6
1.0
7.4546 -0.0008 0.0003
-3.7261 6.4565 0.0003
-1.2431 -2.1524 8.0023
Rb Pu Pa Se
3 2 1 6
Cartesian
-2.4580 4.2890 4.0014
4.9434 0.0144 4.0014
1.2427 2.1517 4.0014
0.0025 4.3030 0.0003
3.7259 2.1527 0.0003
0.0000 0.0000 0.0000
3.6920 2.2133 6.4291
2.5221 4.3670 1.5778
-1.2067 2.0901 1.5737
0.0719 4.3040 6.4291
-0.0368 -0.0637 6.4250
2.4134 -0.0007 1.5737
```

=====

No. 15
Computed, not measured: Rb4Pu3PaTe8 after structural relaxation at the PBE level of DFT.

Values from the calculation:
Symmetry: R-3m (166)
Raw total energy in eV/atom: -6.180
Crystal system: trigonal
Density of states at the Fermi level in states/eV per atom: 2.912

The structure in POSCAR format:
```
Rb4Pu3PaTe8
1.0
-1.8859 8.9796 0.5732
-5.5340 -0.6286 -8.3608
-2.2065 -5.6124 6.9394
Rb Pu Pa Te
4 3 1 8
Cartesian
-0.9429 4.4898 0.2866
-2.0462 1.6836 3.7563
0.0000 0.0000 0.0000
-1.1033 -2.8062 3.4697
-3.7099 4.1755 -3.8938
-4.8132 1.3693 -0.4241
-3.8703 -3.1205 -0.7107
-2.7670 -0.3143 -4.1804
-6.4514 -3.8326 1.0159
-5.3200 -0.9550 -2.5426
-3.3357 -0.7865 1.3469
-7.4183 0.7713 1.3098
-2.2081 1.9673 -2.1581
-6.2906 3.5251 -2.1952
-4.3064 3.6935 1.6943
-3.1750 6.5711 -1.8642
```

=====

No. 16
Computed, not measured: Rb3Pu3PaTe8 after structural relaxation at the PBE level of DFT.

Values from the calculation:
Symmetry: C2/m (12)
Raw total energy in eV/atom: -6.436
Crystal system: monoclinic
Density of states at the Fermi level in states/eV per atom: 2.832

The structure in POSCAR format:
```
Rb3Pu3PaTe8
1.0
-3.8031 -7.5788 3.2497
8.8860 1.4741 1.1494
-6.3040 5.5865 5.6510
Rb Pu Pa Te
3 3 1 8
Cartesian
0.0000 0.0000 0.0000
4.4430 0.7371 0.5747
2.5415 -3.0523 2.1995
-5.0535 -0.9962 4.4504
-0.6105 -0.2591 5.0251
1.2910 3.5303 3.4002
-3.1520 2.7932 2.8255
1.8305 0.4466 3.1836
-3.0516 -0.9647 6.8665
-0.0074 -3.3542 4.8564
-1.2137 2.8360 5.1937
-4.5814 -4.1127 4.2647
3.3603 3.5945 5.7854
-2.6240 -0.2121 2.5922
1.4029 -0.3061 7.4580
```

=====

No. 17
Computed, not measured: PuPaRe after structural relaxation at the PBE level of DFT.

Values from the calculation:
Symmetry: P3m1 (156)
Formation enthalpy at 0 K in meV/atom: -13
Crystal system: trigonal
Density of states at the Fermi level in states/eV per atom: 2.009
Energy above the lowest structure with this stoichiometry in meV per atom: 12

The structure in POSCAR format:
```
PuPaRe
1.0
3.1766 0.0000 0.0000
0.0000 4.6914 0.0000
0.0000 -2.3457 4.0629
Re Pa Pu
1 1 1
Cartesian
3.1755 0.0000 0.0000
1.1452 2.3457 1.3543
2.0326 0.0000 2.7086
```

=====

No. 18
Computed, not measured: Pu2PaRe9 after structural relaxation at the PBE level of DFT.

Values from the calculation:
Symmetry: R-3m (166)
Formation enthalpy at 0 K in meV/atom: 90
Crystal system: trigonal
Density of states at the Fermi level in states/eV per atom: 2.045

The structure in POSCAR format:
```
Pu2PaRe9
1.0
5.0474 0.0000 1.5022
2.3002 4.4929 1.5022
-0.1164 -0.0712 9.6219
Pu Pa Re
2 1 9
Cartesian
6.2298 3.8094 6.7603
1.0014 0.6124 5.8660
0.0000 0.0000 0.0000
4.8886 2.9893 2.0357
2.3426 1.4324 10.5906
3.6156 2.2109 6.3131
3.0180 1.8454 3.6499
5.5722 1.8454 4.4101
4.1820 4.1190 4.4101
4.2132 2.5763 8.9764
3.0492 0.3027 8.2162
1.6591 2.5763 8.2162
```

=====

No. 19
Computed, not measured: PuPaRe after structural relaxation at the PBE level of DFT.

Values from the calculation:
Symmetry: I4mm (107)
Formation enthalpy at 0 K in meV/atom: -25
Crystal system: tetragonal
Density of states at the Fermi level in states/eV per atom: 1.941
Energy above the lowest structure with this stoichiometry in meV per atom: 0

The structure in POSCAR format:
```
PuPaRe
1.0
-0.7721 -3.0417 1.3953
1.5219 -1.5945 -2.6338
4.1021 2.3575 3.1823
Re Pa Pu
1 1 1
Cartesian
1.8949 -2.3047 0.2509
2.9649 0.0261 1.6974
4.8440 -2.2788 1.9393
```

=====

No. 20
Computed, not measured: PuPaRe2 after structural relaxation at the PBE level of DFT.

Values from the calculation:
Symmetry: Fm-3m (225)
Formation enthalpy at 0 K in meV/atom: 149
Crystal system: cubic
Density of states at the Fermi level in states/eV per atom: 1.574
Energy above the lowest structure with this stoichiometry in meV per atom: 0

The structure in POSCAR format:
```
PuPaRe2
1.0
-3.7287 -2.0161 -2.3359
0.1955 -4.6558 -1.3076
-2.7828 -3.2627 2.2440
Re Pa Pu
2 1 1
Cartesian
-1.5790 -2.4837 -0.3499
-4.7370 -7.4510 -1.0497
-3.1580 -4.9673 -0.6998
0.0000 0.0000 0.0000
```

=====

Quick rundown of mass density, same order as above: 16.2 19.0 16.1 16.6 15.5 18.6 15.8 15.5 16.1 4.7 5.3 5.2 5.8 6.2 6.2 6.0 18.1 18.1 18.0 17.6 g/cm3